No. 1
A plane-wave DFT calculation with PBEsol was carried out for a geometry-optimized Rb2As2Pb structure.

Cell: 5.5148 7.5863 7.5863 Å, 90.00 90.00 90.00°
Last column: nearest neighbours and their distance in Å.
Atoms (fractional coordinates):
Rb 0.5000 0.6804 0.8196  6 As 3.54-3.58, 5 Rb 3.87-3.94, 4 Pb 3.92
Rb 0.5000 0.3196 0.1804  6 As 3.54-3.58, 5 Rb 3.87-3.94, 4 Pb 3.92
Rb 0.5000 0.8196 0.3196  6 As 3.54-3.58, 5 Rb 3.87-3.94, 4 Pb 3.92
Rb 0.5000 0.1804 0.6804  6 As 3.54-3.58, 5 Rb 3.87-3.94, 4 Pb 3.92
As 0.0000 0.8876 0.6124  1 As 2.41
As 0.0000 0.1124 0.3876  1 As 2.41
As 0.0000 0.3876 0.8876  1 As 2.41
As 0.0000 0.6124 0.1124  1 As 2.41
Pb 0.0000 0.5000 0.5000  4 As 3.06
Pb 0.0000 0.0000 0.0000  4 As 3.06

Results
density	5.52	g cm⁻³
total magnetization	0.0	μB per formula unit
DFT formation energy	-265.1	meV per atom

No. 2
A plane-wave DFT calculation with PBEsol was carried out for a geometry-optimized Zr2ZnBr structure.

Cell: 3.1723 3.1723 8.8830 Å, 90.00 90.00 90.00°
Last column: nearest neighbours and their distance in Å.
Atoms (fractional coordinates):
Br 0.0000 0.0000 0.4521  4 Zr 2.84, 4 Br 3.17
Zr 0.0000 0.0000 0.9960  4 Zn 2.86, 4 Zr 3.17
Zr 0.5000 0.5000 0.2561  4 Br 2.84, 4 Zr 3.17
Zn 0.5000 0.5000 0.7958  4 Zr 2.86, 4 Zn 3.17

Results
density	6.09	g cm⁻³
total magnetization	0.0	μB per formula unit
distance to the lowest polymorph of the same formula	0.0	meV per atom
formation energy without anion corrections	-0.278	eV/atom

No. 3
A plane-wave DFT calculation with PBEsol was carried out for a geometry-optimized MnRe structure.

Cell: 2.6441 3.9813 4.9540 Å, 90.00 105.48 90.00°
Last column: nearest neighbours and their distance in Å.
Atoms (fractional coordinates):
Mn 0.4424 0.2500 0.8848  2 Mn 2.27
Mn 0.5576 0.7500 0.1152  2 Mn 2.27
Re 0.1756 0.2500 0.3512  7 Mn 2.55-2.64, 6 Re 2.64-2.78
Re 0.8244 0.7500 0.6488  7 Mn 2.55-2.64, 6 Re 2.64-2.78

Results
density	15.93	g cm⁻³
total magnetization	0.0	μB per formula unit
DFT formation energy	64.3	meV per atom

No. 4
A plane-wave DFT calculation with PBEsol was carried out for a geometry-optimized Mg2AsRh structure.

Cell: 3.0669 4.6327 5.2654 Å, 106.46 106.93 90.00°
Last column: nearest neighbours and their distance in Å.
Atoms (fractional coordinates):
As 0.2124 0.7538 0.4247  2 Rh 2.46
Mg 0.9818 0.9607 0.9636  3 As 2.76-3.02, 4 Rh 2.77-2.86, 3 Mg 2.95-3.07
Mg 0.7786 0.3078 0.5572  4 As 2.81-2.89, 3 Rh 2.84-2.86, 4 Mg 2.95-3.11
Rh 0.5273 0.4777 0.0546  2 As 2.46

Results
density	5.50	g cm⁻³
total magnetization	0.0	μB per formula unit
DFT formation energy	-441.7	meV per atom